Compound: LiCa2Pb
Source: the Alexandria database
Functional: PBE-GGA
Structure: optimized geometry

The calculation puts the total energy at -2.264 eV/atom. The total moment is 0.000 μB per atom. As for the energy relative to the elements: 3.3 kcal/mol of atoms.

It has space group Immm (No. 71), with a = 3.6509 Å, b = 5.9308 Å, c = 12.7191 Å, α = 90.00°, β = 90.00° and γ = 90.00°. The distinct sites, in fractional coordinates, are Li at (0.0000, 0.0000, 0.0000), Ca at (0.0000, 0.0000, 0.2489) and Pb at (0.0000, 0.0000, 0.5000).